# 1
BeAsPb2F PBE optimized geometry; uncorrected formation energy = -0.2502 eV per atom
1.0
6.1893 0.0000 0.0000
0.0000 3.2362 0.0000
0.0000 0.0000 6.1893
Pb F As Be
2 1 1 1
Direct
0.0000 0.0000 0.5000 Pb
0.5000 0.0000 0.0000 Pb
0.0000 0.0000 0.0000 F
0.5000 0.5000 0.5000 As
0.0000 0.5000 0.0000 Be

# 2
Rb2Be2As2F PBE optimized geometry; uncorrected formation energy = -0.8688 eV per atom
1.0
4.0057 0.0000 0.0000
2.0028 5.7664 -0.3922
2.0028 1.8256 6.6501
Be F Rb As
2 1 2 2
Direct
0.8351 0.2665 0.0633 Be
0.1649 0.7335 0.9367 Be
0.0000 0.0000 0.0000 F
0.4407 0.7833 0.3353 Rb
0.5593 0.2167 0.6647 Rb
0.7780 0.6279 0.8162 As
0.2220 0.3721 0.1838 As

# 3
Be2TcAsF PBE optimized geometry; uncorrected formation energy = 0.2586 eV per atom
1.0
-0.8407 -2.3763 -2.5523
2.0203 -3.6906 2.7705
-3.1767 -0.5612 1.5689
Tc F Be As
1 1 2 1
Direct
0.0000 0.5000 0.0000 Tc
0.0000 0.0000 0.0000 F
0.5000 0.0000 0.0000 Be
0.0000 0.0000 0.5000 Be
0.5000 0.5000 0.5000 As

# 4
BeTlAsF2 PBE optimized geometry; uncorrected formation energy = -0.1068 eV per atom
1.0
4.3063 0.0000 0.0000
0.0000 5.8068 0.0000
0.0000 0.0000 4.3063
F As Tl Be
2 1 1 1
Direct
0.5000 0.0000 0.0000 F
0.0000 0.0000 0.5000 F
0.5000 0.5000 0.5000 As
0.0000 0.0000 0.0000 Tl
0.0000 0.5000 0.0000 Be

# 5
BeTl2AsF PBE optimized geometry; uncorrected formation energy = 0.2023 eV per atom
1.0
-3.7716 -3.2871 2.7218
-0.3155 -2.3594 -3.2866
4.2446 -3.2662 1.9373
F As Be Tl
1 1 1 2
Direct
0.0000 0.5000 0.0000 F
0.0000 0.0000 0.0000 As
0.5000 0.5000 0.5000 Be
0.5000 0.0000 0.0000 Tl
0.0000 0.0000 0.5000 Tl

# 6
BeFeAs4 PBE optimized geometry; formation energy = 0.8980 eV per atom
1.0
-4.2403 -3.3461 -0.1126
-4.6341 1.5875 -2.2790
-1.5962 -2.1815 -4.6778
As Fe Be
4 1 1
Direct
0.3752 0.3752 0.3752 As
0.8743 0.3752 0.3752 As
0.3752 0.3752 0.8743 As
0.3752 0.8743 0.3752 As
0.0000 0.0000 0.0000 Fe
0.7500 0.7500 0.7500 Be

# 7
Be4FeAs PBE optimized geometry; formation energy = 0.0065 eV per atom
1.0
0.3392 2.7524 3.2825
1.3449 4.0211 -0.6981
-2.7561 3.2784 0.3486
Be As Fe
4 1 1
Direct
0.8694 0.3769 0.3769 Be
0.3769 0.8694 0.3769 Be
0.3769 0.3769 0.3769 Be
0.3769 0.3769 0.8694 Be
0.0000 0.0000 0.0000 As
0.7500 0.7500 0.7500 Fe

# 8
HfBe2FeAs PBE optimized geometry; formation energy = 0.7877 eV per atom
1.0
-1.2403 -2.4266 -3.0956
0.7654 -4.0608 2.8765
-3.8830 0.2380 1.3692
Be As Hf Fe
2 1 1 1
Direct
0.0000 0.0000 0.5000 Be
0.5000 0.0000 0.0000 Be
0.0000 0.0000 0.0000 As
0.0000 0.5000 0.0000 Hf
0.5000 0.5000 0.5000 Fe

# 9
NaBe2FeAs PBE optimized geometry; formation energy = 0.7564 eV per atom
1.0
4.3505 0.0000 0.0000
0.0000 4.4593 0.0000
0.0000 0.0000 4.3505
As Be Na Fe
1 2 1 1
Direct
0.0000 0.0000 0.0000 As
0.5000 0.0000 0.0000 Be
0.0000 0.0000 0.5000 Be
0.5000 0.5000 0.5000 Na
0.0000 0.5000 0.0000 Fe

# 10
Be2FeAsPb PBE optimized geometry; formation energy = 0.4639 eV per atom
1.0
4.4086 0.0000 0.0000
0.0000 4.3597 0.0000
0.0000 0.0000 4.4086
Fe Be As Pb
1 2 1 1
Direct
0.0000 0.0000 0.0000 Fe
0.5000 0.0000 0.0000 Be
0.0000 0.0000 0.5000 Be
0.0000 0.5000 0.0000 As
0.5000 0.5000 0.5000 Pb

# 11
BeFe2AsPt PBE optimized geometry; formation energy = 0.8668 eV per atom
1.0
4.3484 0.0000 0.0000
0.0000 4.3484 0.0000
0.0000 0.0000 4.6447
Fe As Be Pt
2 1 1 1
Direct
0.5000 0.0000 0.0000 Fe
0.0000 0.5000 0.0000 Fe
0.0000 0.0000 0.0000 As
0.5000 0.5000 0.5000 Be
0.0000 0.0000 0.5000 Pt

# 12
BeFeAs2Pt PBE optimized geometry; formation energy = 0.7718 eV per atom
1.0
-1.4847 4.0873 0.6167
-3.2229 -0.7932 -2.5021
-2.3427 -1.3719 3.4525
Fe As Be Pt
1 2 1 1
Direct
0.5000 0.5000 0.5000 Fe
0.0000 0.0000 0.5000 As
0.5000 0.0000 0.0000 As
0.0000 0.0000 0.0000 Be
0.0000 0.5000 0.0000 Pt

| no. | magnetic moment (μB/cell) | DOS at the Fermi energy (states/eV/f.u.) |
| --- | --- | --- |
| 1 | 0.000 | 2.3 |
| 2 | 0.000 | 2.0 |
| 3 | 1.185 | 2.1 |
| 4 | 0.813 | 3.0 |
| 5 | 0.000 | 3.1 |
| 6 | 3.074 | 3.4 |
| 7 | 0.038 | 2.1 |
| 8 | 2.277 | 4.6 |
| 9 | 1.516 | 4.2 |
| 10 | 0.896 | 2.4 |
| 11 | 4.899 | 3.8 |
| 12 | 0.000 | 5.9 |